No. 1
# Y3HgF, optimized geometry, DFT PBE
data_Y3HgF
_chemical_formula_sum 'Y3 Hg1 F1'
_symmetry_space_group_name_H-M 'P 1'
_symmetry_Int_Tables_number 1
_symmetry_space_group_name_Hall 'P 1'
_cell_length_a 4.8570
_cell_length_b 4.8570
_cell_length_c 4.8570
_cell_angle_alpha 90.00
_cell_angle_beta 90.00
_cell_angle_gamma 90.00
loop_
_atom_site_label
_atom_site_fract_x
_atom_site_fract_y
_atom_site_fract_z
_atom_site_occupancy
Y1 0.0000 0.0000 0.5000 1
Y2 0.0000 0.5000 0.0000 1
Y3 0.5000 0.0000 0.0000 1
Hg1 0.5000 0.5000 0.5000 1
F1 0.0000 0.0000 0.0000 1
# formation energy without anion corrections	-1.008	eV per atom
# excess energy over the best structure of this formula in the dataset	0	meV per atom
# space group	Pm-3m (221)



No. 2
# Rb2PmTe3O12, optimized geometry, DFT PBE
data_Rb2PmTe3O12
_chemical_formula_sum 'Rb2 Pm1 Te3 O12'
_symmetry_space_group_name_H-M 'P 1'
_symmetry_Int_Tables_number 1
_symmetry_space_group_name_Hall 'P 1'
_cell_length_a 7.6926
_cell_length_b 7.6926
_cell_length_c 7.6926
_cell_angle_alpha 57.87
_cell_angle_beta 57.87
_cell_angle_gamma 57.87
loop_
_atom_site_label
_atom_site_fract_x
_atom_site_fract_y
_atom_site_fract_z
_atom_site_occupancy
Rb1 0.1183 0.1183 0.1183 1
Rb2 0.8817 0.8817 0.8817 1
Pm1 0.5000 0.5000 0.5000 1
Te1 0.0000 0.5000 0.5000 1
Te2 0.5000 0.0000 0.5000 1
Te3 0.5000 0.5000 0.0000 1
O1 0.1348 0.5792 0.5792 1
O2 0.1879 0.1879 0.5863 1
O3 0.1879 0.5863 0.1879 1
O4 0.4137 0.8121 0.8121 1
O5 0.4208 0.4208 0.8652 1
O6 0.4208 0.8652 0.4208 1
O7 0.5792 0.1348 0.5792 1
O8 0.5792 0.5792 0.1348 1
O9 0.5863 0.1879 0.1879 1
O10 0.8121 0.4137 0.8121 1
O11 0.8121 0.8121 0.4137 1
O12 0.8652 0.4208 0.4208 1
# formation energy without anion corrections	-1.437	eV per atom
# space group	R-3m (166)